[1]
VASP calculation (PBE) on an optimized crystal structure of KTiBe2.

Geometry as POSCAR:
```
KTiBe2
1.0
-2.919 -6.680 -1.434
-0.820 -1.205 7.285
-4.728 -2.669 2.814
Be K Ti
4 2 2
Direct
0.683 0.125 0.250
0.067 0.625 0.250
0.375 0.317 0.750
0.875 0.933 0.750
0.500 0.500 0.000
0.250 0.750 0.500
0.000 0.000 0.000
0.750 0.250 0.500
```

E_tot, eV per atom: -2.780
ΔE_f, eV per atom: 1.331
N(E_F), states/eV per atom: 0.696
Polymorph energy (0 for the lowest one), meV/atom: 126

---

[2]
VASP calculation (PBE) on an optimized crystal structure of KTiBe2.

Geometry as POSCAR:
```
KTiBe2
1.0
0.000 3.328 3.328
3.328 0.000 3.328
3.328 3.328 0.000
Be K Ti
2 1 1
Direct
0.250 0.250 0.250
0.750 0.750 0.750
0.000 0.000 0.000
0.500 0.500 0.500
```

E_tot, eV per atom: -2.906
ΔE_f, eV per atom: 1.205
N(E_F), states/eV per atom: 0.826
Polymorph energy (0 for the lowest one), meV/atom: 0

---

[3]
VASP calculation (PBE) on an optimized crystal structure of KTiBe3.

Geometry as POSCAR:
```
KTiBe3
1.0
4.892 0.000 0.000
0.000 4.892 0.000
0.000 0.000 4.892
Be K Ti
3 1 1
Direct
0.000 0.500 0.000
0.000 0.000 0.500
0.500 0.000 0.000
0.500 0.500 0.500
0.000 0.000 0.000
```

E_tot, eV per atom: -2.686
ΔE_f, eV per atom: 1.348
N(E_F), states/eV per atom: 0.928
Polymorph energy (0 for the lowest one), meV/atom: 0

---

[4]
VASP calculation (PBE) on an optimized crystal structure of K2BeTl.

Geometry as POSCAR:
```
K2BeTl
1.0
-4.092 4.139 2.696
0.320 -0.254 6.401
4.453 0.613 -4.575
Be Tl K
1 1 2
Direct
0.750 0.250 0.500
0.250 0.750 0.500
0.000 0.000 0.000
0.500 0.500 0.000
```

E_tot, eV per atom: -1.460
ΔE_f, eV per atom: 0.612
N(E_F), states/eV per atom: 0.865
Polymorph energy (0 for the lowest one), meV/atom: 354

---

[5]
VASP calculation (PBE) on an optimized crystal structure of KBeTl3.

Geometry as POSCAR:
```
KBeTl3
1.0
5.254 0.000 0.000
0.000 5.254 0.000
0.000 0.000 5.254
Be Tl K
1 3 1
Direct
0.000 0.000 0.000
0.000 0.500 0.000
0.000 0.000 0.500
0.500 0.000 0.000
0.500 0.500 0.500
```

E_tot, eV per atom: -2.200
ΔE_f, eV per atom: 0.185
N(E_F), states/eV per atom: 0.597
Polymorph energy (0 for the lowest one), meV/atom: 0

---

[6]
VASP calculation (PBE) on an optimized crystal structure of KBeTl.

Geometry as POSCAR:
```
KBeTl
1.0
6.729 0.023 -0.029
5.874 3.753 0.066
0.855 0.992 3.597
Be Tl K
1 1 1
Direct
0.062 0.062 0.938
0.605 0.605 0.395
0.332 0.332 0.668
```

E_tot, eV per atom: -1.908
ΔE_f, eV per atom: 0.488
N(E_F), states/eV per atom: 0.401
Polymorph energy (0 for the lowest one), meV/atom: 62

---

[7]
VASP calculation (PBE) on an optimized crystal structure of KBeTl2.

Geometry as POSCAR:
```
KBeTl2
1.0
4.381 -0.010 0.012
2.208 3.784 0.012
2.150 1.231 7.216
Be Tl K
1 2 1
Direct
0.250 0.250 0.250
0.964 0.964 0.106
0.536 0.536 0.394
0.750 0.750 0.750
```

E_tot, eV per atom: -2.142
ΔE_f, eV per atom: 0.247
N(E_F), states/eV per atom: 0.359
Polymorph energy (0 for the lowest one), meV/atom: 7

---

[8]
VASP calculation (PBE) on an optimized crystal structure of KBeTl2.

Geometry as POSCAR:
```
KBeTl2
1.0
-5.306 -1.583 2.208
-1.881 -3.232 -4.642
4.640 -0.419 3.719
Be Tl K
1 2 1
Direct
0.642 0.642 0.000
0.949 0.949 0.000
0.650 0.150 0.500
0.258 0.758 0.500
```

E_tot, eV per atom: -2.004
ΔE_f, eV per atom: 0.385
N(E_F), states/eV per atom: 0.794
Polymorph energy (0 for the lowest one), meV/atom: 145

---

[9]
VASP calculation (PBE) on an optimized crystal structure of K2BeTl.

Geometry as POSCAR:
```
K2BeTl
1.0
12.815 0.000 0.000
0.000 12.815 0.000
6.407 6.407 2.320
Be Tl K
2 2 4
Direct
0.500 0.500 0.000
0.250 0.750 0.500
0.000 0.000 0.000
0.750 0.250 0.500
0.431 0.125 0.250
0.319 0.625 0.250
0.375 0.569 0.750
0.875 0.681 0.750
```

E_tot, eV per atom: -1.765
ΔE_f, eV per atom: 0.306
N(E_F), states/eV per atom: 0.562
Polymorph energy (0 for the lowest one), meV/atom: 48

---

[10]
VASP calculation (PBE) on an optimized crystal structure of K2BeTl.

Geometry as POSCAR:
```
K2BeTl
1.0
-1.574 2.686 -3.476
-5.643 -2.265 0.805
-3.889 2.758 3.891
Be Tl K
1 1 2
Direct
0.500 0.625 0.625
0.000 0.626 0.624
0.000 0.958 0.958
0.500 0.291 0.292
```

E_tot, eV per atom: -1.813
ΔE_f, eV per atom: 0.259
N(E_F), states/eV per atom: 0.510
Polymorph energy (0 for the lowest one), meV/atom: 0

---

[11]
VASP calculation (PBE) on an optimized crystal structure of KBeTl2.

Geometry as POSCAR:
```
KBeTl2
1.0
6.212 -0.034 -0.116
-2.936 5.826 0.076
0.340 0.946 3.195
Be Tl K
1 2 1
Direct
0.000 0.500 0.500
0.000 0.000 0.000
0.500 0.000 0.500
0.500 0.500 0.000
```

E_tot, eV per atom: -1.803
ΔE_f, eV per atom: 0.586
N(E_F), states/eV per atom: 0.515
Polymorph energy (0 for the lowest one), meV/atom: 345

---

[12]
VASP calculation (PBE) on an optimized crystal structure of KBeTl.

Geometry as POSCAR:
```
KBeTl
1.0
5.057 0.000 0.000
2.529 4.380 0.000
2.529 1.460 4.129
Be Tl K
1 1 1
Direct
0.750 0.750 0.750
0.500 0.500 0.500
0.000 0.000 0.000
```

E_tot, eV per atom: -1.702
ΔE_f, eV per atom: 0.694
N(E_F), states/eV per atom: 0.672
Polymorph energy (0 for the lowest one), meV/atom: 268

---

[13]
VASP calculation (PBE) on an optimized crystal structure of KBe2Tl2.

Geometry as POSCAR:
```
KBe2Tl2
1.0
4.730 0.000 0.000
0.000 4.730 0.000
2.365 2.365 5.215
Be Tl K
2 2 1
Direct
0.394 0.394 0.212
0.606 0.606 0.788
0.750 0.250 0.500
0.250 0.750 0.500
0.000 0.000 0.000
```

E_tot, eV per atom: -2.181
ΔE_f, eV per atom: 0.476
N(E_F), states/eV per atom: 0.671
Polymorph energy (0 for the lowest one), meV/atom: 0

---

[14]
VASP calculation (PBE) on an optimized crystal structure of K2BeTl.

Geometry as POSCAR:
```
K2BeTl
1.0
-4.413 0.448 1.055
0.943 -0.983 4.363
1.914 5.588 5.634
Be Tl K
1 1 2
Direct
0.500 0.750 0.750
0.500 0.250 0.250
0.000 0.008 0.990
0.000 0.492 0.510
```

E_tot, eV per atom: -1.478
ΔE_f, eV per atom: 0.594
N(E_F), states/eV per atom: 0.750
Polymorph energy (0 for the lowest one), meV/atom: 335

---

[15]
VASP calculation (PBE) on an optimized crystal structure of K2BeTl.

Geometry as POSCAR:
```
K2BeTl
1.0
-3.515 3.978 -1.702
-1.747 0.625 5.257
5.433 0.434 -1.171
Be Tl K
1 1 2
Direct
0.750 0.250 0.500
0.500 0.500 0.000
0.000 0.000 0.000
0.250 0.750 0.500
```

E_tot, eV per atom: -1.550
ΔE_f, eV per atom: 0.521
N(E_F), states/eV per atom: 1.237
Polymorph energy (0 for the lowest one), meV/atom: 263

---

[16]
VASP calculation (PBE) on an optimized crystal structure of KBeTl2.

Geometry as POSCAR:
```
KBeTl2
1.0
-1.812 -3.827 -4.103
-0.134 -2.556 5.312
-3.298 1.089 0.441
Be Tl K
1 2 1
Direct
0.500 0.000 0.500
0.000 0.000 0.000
0.500 0.500 0.000
0.000 0.500 0.500
```

E_tot, eV per atom: -1.775
ΔE_f, eV per atom: 0.614
N(E_F), states/eV per atom: 0.601
Polymorph energy (0 for the lowest one), meV/atom: 373

---

[17]
VASP calculation (PBE) on an optimized crystal structure of K2BeTl.

Geometry as POSCAR:
```
K2BeTl
1.0
11.379 -0.026 -0.015
10.705 3.858 -0.015
10.705 1.857 3.381
Be Tl K
1 1 2
Direct
0.750 0.750 0.750
0.250 0.250 0.250
0.008 0.008 0.008
0.492 0.492 0.492
```

E_tot, eV per atom: -1.391
ΔE_f, eV per atom: 0.681
N(E_F), states/eV per atom: 0.813
Polymorph energy (0 for the lowest one), meV/atom: 422

---

[18]
VASP calculation (PBE) on an optimized crystal structure of KBeTl2.

Geometry as POSCAR:
```
KBeTl2
1.0
-2.627 -0.894 -2.572
2.718 -1.041 -2.418
-0.298 -7.720 2.989
Be Tl K
1 2 1
Direct
0.000 0.000 0.379
0.000 0.000 0.053
0.500 0.500 0.328
0.500 0.500 0.740
```

E_tot, eV per atom: -2.030
ΔE_f, eV per atom: 0.359
N(E_F), states/eV per atom: 0.469
Polymorph energy (0 for the lowest one), meV/atom: 119

---

[19]
VASP calculation (PBE) on an optimized crystal structure of KBeTl.

Geometry as POSCAR:
```
KBeTl
1.0
-6.642 0.292 -1.414
-4.707 -4.516 -1.910
5.122 1.632 4.160
Be Tl K
1 1 1
Direct
0.056 0.056 0.000
0.610 0.610 0.000
0.334 0.334 0.000
```

E_tot, eV per atom: -1.901
ΔE_f, eV per atom: 0.495
N(E_F), states/eV per atom: 0.410
Polymorph energy (0 for the lowest one), meV/atom: 69

---

[20]
VASP calculation (PBE) on an optimized crystal structure of K2BeTl.

Geometry as POSCAR:
```
K2BeTl
1.0
5.129 0.000 0.000
0.000 5.130 0.000
0.000 0.000 5.280
Be Tl K
1 1 2
Direct
0.000 0.500 0.500
0.500 0.000 0.500
0.000 0.000 0.000
0.500 0.500 0.000
```

E_tot, eV per atom: -1.466
ΔE_f, eV per atom: 0.606
N(E_F), states/eV per atom: 0.752
Polymorph energy (0 for the lowest one), meV/atom: 347